Entry 1:
Here is crystalline LaGaCo2 at its relaxed geometry from Alexandria. Energies are from PBE.

Cell lengths 8.7401, 8.7401, 8.7401 Å; angles 149.96, 149.96, 43.00 degrees
With the nearest neighbours (Å) after each atom.
Sites, in units of the cell vectors:
La 0.0000 0.0000 0.0000  8 Co 3.15-3.35, 4 Ga 3.20
La 0.7500 0.2500 0.5000  8 Co 3.15-3.35, 4 Ga 3.20
Ga 0.2500 0.7500 0.5000  4 Co 2.33
Ga 0.5000 0.5000 0.0000  4 Co 2.33
Co 0.3443 0.6250 0.2193  2 Co 2.28, 2 Ga 2.33
Co 0.3750 0.5943 0.7193  2 Co 2.28, 2 Ga 2.33
Co 0.4057 0.1250 0.7807  2 Co 2.28, 2 Ga 2.33
Co 0.8750 0.6557 0.2807  2 Co 2.28, 2 Ga 2.33

## Properties
energy relative to the elements = -1.9 kJ per mole of atoms
theoretical density = 6.498 Mg/m³
crystal system = tetragonal
calculated volume = 20.860 Å³/atom
spin magnetization = 0.37 μB/atom

---

Entry 2:
Here is crystalline Na3La2TmTe6 at its relaxed geometry from Alexandria. Energies are from PBE.

Cell lengths 7.8998, 7.8998, 7.9835 Å; angles 99.52, 99.52, 120.02 degrees
With the nearest neighbours (Å) after each atom.
Sites, in units of the cell vectors:
Na 0.0000 0.0000 0.0000  6 Te 3.25-3.39
Na 0.3305 0.6695 0.0000  6 Te 3.25-3.35
Na 0.6695 0.3305 0.0000  6 Te 3.25-3.35
La 0.1662 0.8338 0.5000  6 Te 3.22-3.23
La 0.8338 0.1662 0.5000  6 Te 3.22-3.23
Tm 0.5000 0.5000 0.5000  6 Te 3.09
Te 0.1012 0.4210 0.2626  1 Tm 3.09, 2 La 3.23, 3 Na 3.25-3.35
Te 0.2599 0.2599 0.7365  1 Tm 3.09, 2 La 3.22, 3 Na 3.28-3.39
Te 0.4210 0.1012 0.2626  1 Tm 3.09, 2 La 3.23, 3 Na 3.25-3.35
Te 0.5790 0.8988 0.7374  1 Tm 3.09, 2 La 3.23, 3 Na 3.25-3.35
Te 0.7401 0.7401 0.2635  1 Tm 3.09, 2 La 3.22, 3 Na 3.28-3.39
Te 0.8988 0.5790 0.7374  1 Tm 3.09, 2 La 3.23, 3 Na 3.25-3.35

## Properties
theoretical density = 5.226 Mg/m³
crystal system = monoclinic
calculated volume = 33.925 Å³/atom
raw formation energy = -132 kJ per mole of atoms
spin magnetization = 0.00 μB/atom

---

Which value of spin magnetization does entry 2 give? 0.00 μB/atom